1.
Entry from the Alexandria database: crystalline In2PdPt2 at its relaxed geometry (PBE).

abc: 5.540 5.540 7.606
angles: 112.01 112.01 56.28
Atoms (fractional coordinates):
In 0.032 0.326 0.145
In 0.326 0.032 0.645
In 0.674 0.968 0.355
In 0.968 0.674 0.855
Pd 0.174 0.826 0.250
Pd 0.826 0.174 0.750
Pt 0.249 0.528 0.537
Pt 0.472 0.751 0.963
Pt 0.528 0.249 0.037
Pt 0.751 0.472 0.463

Crystal system: monoclinic
ρ (g/cm3): 13.72
Distance to the lowest polymorph of the same formula (eV/atom): 0.000

***

2.
Entry from the Alexandria database: crystalline KFeAs2 at its relaxed geometry (PBE).

abc: 6.928 6.928 6.928
angles: 146.68 146.68 47.83
Atoms (fractional coordinates):
K 0.000 0.000 0.000
Fe 0.250 0.750 0.500
As 0.332 0.332 0.000
As 0.668 0.668 0.000

Crystal system: tetragonal
ρ (g/cm3): 4.07
Distance to the lowest polymorph of the same formula (eV/atom): 0.067

***

3.
Entry from the Alexandria database: crystalline NaAcSbO at its relaxed geometry (PBE).

abc: 8.065 8.065 8.065
angles: 154.53 154.53 36.33
Atoms (fractional coordinates):
Na 0.000 0.000 0.000
Ac 0.296 0.296 0.000
Sb 0.626 0.626 0.000
O 0.849 0.849 0.000

Raw formation energy (eV/atom): -1.488
Crystal system: tetragonal
ρ (g/cm3): 6.64

***

4.
Entry from the Alexandria database: crystalline K6MnCl8 at its relaxed geometry (PBE).

abc: 8.085 8.085 8.085
angles: 69.86 69.86 69.86
Atoms (fractional coordinates):
K 0.018 0.799 0.442
K 0.201 0.558 0.982
K 0.442 0.018 0.799
K 0.558 0.982 0.201
K 0.799 0.442 0.018
K 0.982 0.201 0.558
Mn 0.500 0.500 0.500
Cl 0.156 0.156 0.156
Cl 0.196 0.407 0.653
Cl 0.347 0.804 0.593
Cl 0.407 0.653 0.196
Cl 0.593 0.347 0.804
Cl 0.653 0.196 0.407
Cl 0.804 0.593 0.347
Cl 0.844 0.844 0.844

Raw formation energy (eV/atom): -1.753
Crystal system: trigonal
ρ (g/cm3): 2.11

***

5.
Entry from the Alexandria database: crystalline Mg2AgOs at its relaxed geometry (PBE).

abc: 4.581 4.581 4.581
angles: 60.00 60.00 60.00
Atoms (fractional coordinates):
Mg 0.000 0.000 0.000
Mg 0.250 0.250 0.250
Ag 0.500 0.500 0.500
Os 0.750 0.750 0.750

Crystal system: cubic
ρ (g/cm3): 8.47
Total energy (eV per atom): -3.960

***

6.
Entry from the Alexandria database: crystalline Pm2Mg3Al at its relaxed geometry (PBE).

abc: 10.179 9.458 6.159
angles: 78.23 65.45 36.32
Atoms (fractional coordinates):
Pm 0.250 0.250 0.250
Pm 0.250 0.750 0.750
Pm 0.750 0.250 0.250
Pm 0.750 0.750 0.750
Mg 0.170 0.170 0.830
Mg 0.171 0.660 0.340
Mg 0.340 0.829 0.171
Mg 0.660 0.171 0.829
Mg 0.829 0.340 0.660
Mg 0.830 0.830 0.170
Al 0.334 0.334 0.666
Al 0.666 0.666 0.334

Crystal system: orthorhombic
ρ (g/cm3): 4.18
Total energy (eV per atom): -3.164

***

7.
Entry from the Alexandria database: crystalline Ac7NiPd4 at its relaxed geometry (PBE).

abc: 7.528 7.528 13.249
angles: 103.72 103.72 33.19
Atoms (fractional coordinates):
Ac 0.000 0.000 0.000
Ac 0.221 0.221 0.855
Ac 0.296 0.296 0.417
Ac 0.527 0.527 0.275
Ac 0.604 0.604 0.584
Ac 0.755 0.755 0.141
Ac 0.913 0.913 0.689
Ni 0.143 0.143 0.209
Pd 0.259 0.259 0.636
Pd 0.375 0.375 0.066
Pd 0.562 0.562 0.816
Pd 0.957 0.957 0.456

Crystal system: monoclinic
ρ (g/cm3): 8.65
Total energy (eV per atom): -5.169

***

8.
Entry from the Alexandria database: crystalline La2ScSe at its relaxed geometry (PBE).

abc: 5.541 5.541 3.633
angles: 90.00 90.00 90.00
Atoms (fractional coordinates):
La 0.000 0.500 0.000
La 0.500 0.000 0.000
Sc 0.000 0.000 0.500
Se 0.500 0.500 0.500

Raw formation energy (eV/atom): -0.603
Crystal system: tetragonal
ρ (g/cm3): 5.98